Density functional theory data (PBE) for a relaxed structure of HfMgBr6.

Lattice parameters (Å, degrees): 7.5181 7.5181 6.6156 98.51 98.51 127.80
Closest atoms and distances in Å follow each position.
Element x y z (fractional)
Hf: 0.0000 0.0000 0.0000  6 Br 2.59-2.65
Mg: 0.5000 0.5000 0.5000  6 Br 2.66-2.82
Br: 0.1117 0.3853 0.2485  1 Hf 2.65, 1 Mg 2.66
Br: 0.2394 0.2394 0.7607  1 Hf 2.59, 1 Mg 2.82
Br: 0.3853 0.1117 0.2485  1 Hf 2.65, 1 Mg 2.66
Br: 0.6147 0.8883 0.7515  1 Hf 2.65, 1 Mg 2.66
Br: 0.7606 0.7606 0.2393  1 Hf 2.59, 1 Mg 2.82
Br: 0.8883 0.6147 0.7515  1 Hf 2.65, 1 Mg 2.66

Summary:
* size of the total moment: 0.00 μB/cell
* calculated density: 4.07 g/cm3
* energy relative to the elements, uncorrected: -1.38 eV per atom
* V: 278.2 Å³/f.u.
* E_tot: -0.2994 Ry per atom